(1)
The following is a PBE calculation of crystalline CsAuI2F at its relaxed geometry, from Alexandria via LeMat-Bulk.

Unit cell a=5.863 b=5.863 c=4.698 alpha=90.00 beta=90.00 gamma=90.00
Fractional coordinates of all 5 atoms:
I: 0.500 0.000 0.000
Cs: 0.500 0.500 0.500
Au: 0.000 0.000 0.000
I: 0.000 0.500 0.000
F: 0.000 0.000 0.500

Computed properties:
* E_form (uncorrected): -906 meV per atom


(2)
The following is a PBE calculation of crystalline Cs2AuIF6 at its relaxed geometry, from Alexandria via LeMat-Bulk.

Unit cell a=6.991 b=6.991 c=7.135 alpha=60.67 beta=60.67 gamma=90.00
Fractional coordinates of all 10 atoms:
I: 0.500 0.500 0.000
Au: 0.000 0.000 0.000
F: 0.197 0.197 0.606
F: 0.291 0.709 0.000
F: 0.803 0.803 0.394
F: 0.291 0.291 0.000
Cs: 0.750 0.250 0.500
Cs: 0.250 0.750 0.500
F: 0.709 0.709 0.000
F: 0.709 0.291 0.000

Computed properties:
* E_form (uncorrected): -1801 meV per atom


(3)
The following is a PBE calculation of crystalline Cs2AuI6F at its relaxed geometry, from Alexandria via LeMat-Bulk.

Unit cell a=8.122 b=8.122 c=8.108 alpha=59.94 beta=59.94 gamma=90.00
Fractional coordinates of all 10 atoms:
I: 0.756 0.756 0.488
Au: 0.000 0.000 0.000
F: 0.500 0.500 0.000
I: 0.243 0.757 0.000
I: 0.243 0.243 0.000
I: 0.244 0.244 0.512
I: 0.757 0.243 0.000
Cs: 0.250 0.750 0.500
I: 0.757 0.757 0.000
Cs: 0.750 0.250 0.500

Computed properties:
* E_form (uncorrected): -762 meV per atom


(4)
The following is a PBE calculation of crystalline Cs4Au2IF at its relaxed geometry, from Alexandria via LeMat-Bulk.

Unit cell a=10.308 b=10.308 c=10.226 alpha=119.51 beta=119.51 gamma=90.00
Fractional coordinates of all 16 atoms:
I: 0.000 0.500 0.500
F: 0.000 0.000 0.000
Cs: 0.260 0.250 0.502
Cs: 0.750 0.760 0.002
F: 0.500 0.500 0.500
Au: 0.500 0.000 0.500
Au: 0.000 0.000 0.500
Cs: 0.306 0.712 0.509
Cs: 0.788 0.194 0.991
Cs: 0.694 0.288 0.491
Cs: 0.212 0.806 0.009
Cs: 0.740 0.750 0.498
Cs: 0.250 0.240 0.998
I: 0.000 0.500 0.000
Au: 0.500 0.500 0.000
Au: 0.500 0.000 0.000

Computed properties:
* E_form (uncorrected): -1145 meV per atom


(5)
The following is a PBE calculation of crystalline Cs8Au3I4F at its relaxed geometry, from Alexandria via LeMat-Bulk.

Unit cell a=10.546 b=10.593 c=10.643 alpha=119.88 beta=119.70 gamma=90.00
Fractional coordinates of all 16 atoms:
F: 0.000 0.500 0.000
Cs: 0.249 0.740 0.498
Cs: 0.255 0.265 0.509
Au: 0.000 0.500 0.500
Cs: 0.751 0.260 0.502
Cs: 0.771 0.714 0.993
Au: 0.500 0.500 0.000
I: 0.000 0.000 0.500
Cs: 0.778 0.286 0.007
Cs: 0.229 0.286 0.007
Cs: 0.222 0.714 0.993
I: 0.500 0.000 0.500
Au: 0.500 0.500 0.500
I: 0.500 0.000 0.000
I: 0.000 0.000 0.000
Cs: 0.745 0.735 0.491

Computed properties:
* E_form (uncorrected): -1188 meV per atom


(6)
The following is a PBE calculation of crystalline Cs2IrAuF6 at its relaxed geometry, from Alexandria via LeMat-Bulk.

Unit cell a=6.847 b=6.847 c=6.417 alpha=57.76 beta=57.76 gamma=90.00
Fractional coordinates of all 10 atoms:
Ir: 0.500 0.500 0.000
Cs: 0.750 0.250 0.500
F: 0.254 0.254 0.493
F: 0.289 0.711 0.000
F: 0.711 0.289 0.000
F: 0.746 0.746 0.507
F: 0.711 0.711 0.000
Au: 0.000 0.000 0.000
Cs: 0.250 0.750 0.500
F: 0.289 0.289 0.000

Computed properties:
* E_form (uncorrected): -1745 meV per atom


(7)
The following is a PBE calculation of crystalline Cs2KAuF at its relaxed geometry, from Alexandria via LeMat-Bulk.

Unit cell a=5.984 b=5.984 c=5.347 alpha=90.00 beta=90.00 gamma=90.00
Fractional coordinates of all 5 atoms:
Cs: 0.000 0.500 0.000
Au: 0.500 0.500 0.500
F: 0.000 0.000 0.000
Cs: 0.500 0.000 0.000
K: 0.000 0.000 0.500

Computed properties:
* E_form (uncorrected): -1141 meV per atom


(8)
The following is a PBE calculation of crystalline Cs6KAuF at its relaxed geometry, from Alexandria via LeMat-Bulk.

Unit cell a=9.189 b=9.190 c=9.159 alpha=90.03 beta=89.98 gamma=59.97
Fractional coordinates of all 9 atoms:
Cs: 0.377 0.592 0.294
Cs: 0.592 0.030 0.294
F: 0.333 0.333 0.500
Au: 0.667 0.667 0.500
Cs: 0.377 0.030 0.707
K: 0.000 0.000 0.000
Cs: 0.030 0.377 0.293
Cs: 0.592 0.378 0.706
Cs: 0.030 0.592 0.706

Computed properties:
* E_form (uncorrected): -601 meV per atom